# 1
# Tl3Sn2Te6 | Alexandria | GGA-PBE | relaxed
data_Tl3Sn2Te6
_space_group_name_H-M_alt 'P 1'
_space_group_IT_number 1
_cell_length_a 15.817
_cell_length_b 15.817
_cell_length_c 15.817
_cell_angle_alpha 160.64
_cell_angle_beta 160.64
_cell_angle_gamma 27.51
loop_
_space_group_symop_operation_xyz
'x,y,z'
loop_
_atom_site_label
_atom_site_fract_x
_atom_site_fract_y
_atom_site_fract_z
Tl1 0.000 0.000 0.000
Tl2 0.175 0.175 0.000
Tl3 0.825 0.825 0.000
Sn1 0.380 0.380 0.000
Sn2 0.620 0.620 0.000
Te1 0.080 0.580 0.500
Te2 0.293 0.293 0.000
Te3 0.420 0.920 0.500
Te4 0.580 0.080 0.500
Te5 0.707 0.707 0.000
Te6 0.920 0.420 0.500
# Symmetry = I4/mmm
# VASP energy = -34.865 eV/f.u.
# Formation energy from raw total energies = -0.08 eV per atom

# 2
# Tl5Sn2Te6 | Alexandria | GGA-PBE | relaxed
data_Tl5Sn2Te6
_space_group_name_H-M_alt 'P 1'
_space_group_IT_number 1
_cell_length_a 13.039
_cell_length_b 15.329
_cell_length_c 4.954
_cell_angle_alpha 90.00
_cell_angle_beta 90.00
_cell_angle_gamma 90.00
loop_
_space_group_symop_operation_xyz
'x,y,z'
loop_
_atom_site_label
_atom_site_fract_x
_atom_site_fract_y
_atom_site_fract_z
Tl1 0.000 0.000 0.000
Tl2 0.069 0.250 0.000
Tl3 0.170 0.516 0.000
Tl4 0.330 0.016 0.000
Tl5 0.431 0.750 0.000
Tl6 0.500 0.500 0.000
Tl7 0.569 0.250 0.000
Tl8 0.670 0.984 0.000
Tl9 0.830 0.484 0.000
Tl10 0.931 0.750 0.000
Sn1 0.177 0.723 0.500
Sn2 0.323 0.223 0.500
Sn3 0.677 0.777 0.500
Sn4 0.823 0.277 0.500
Te1 0.006 0.606 0.500
Te2 0.157 0.101 0.500
Te3 0.186 0.826 0.000
Te4 0.314 0.326 0.000
Te5 0.343 0.601 0.500
Te6 0.494 0.106 0.500
Te7 0.506 0.894 0.500
Te8 0.657 0.399 0.500
Te9 0.686 0.674 0.000
Te10 0.814 0.174 0.000
Te11 0.843 0.899 0.500
Te12 0.994 0.394 0.500
# Symmetry = Pbam
# VASP energy = -41.907 eV/f.u.
# Formation energy from raw total energies = -0.25 eV per atom

# 3
# TlSnTe | Alexandria | GGA-PBE | relaxed
data_TlSnTe
_space_group_name_H-M_alt 'P 1'
_space_group_IT_number 1
_cell_length_a 12.545
_cell_length_b 4.218
_cell_length_c 9.804
_cell_angle_alpha 90.00
_cell_angle_beta 122.92
_cell_angle_gamma 90.00
loop_
_space_group_symop_operation_xyz
'x,y,z'
loop_
_atom_site_label
_atom_site_fract_x
_atom_site_fract_y
_atom_site_fract_z
Tl1 0.158 0.000 0.070
Tl2 0.342 0.500 0.930
Tl3 0.658 0.500 0.070
Tl4 0.842 0.000 0.930
Sn1 0.089 0.000 0.678
Sn2 0.411 0.500 0.322
Sn3 0.589 0.500 0.678
Sn4 0.911 0.000 0.322
Te1 0.052 0.500 0.276
Te2 0.448 0.000 0.724
Te3 0.552 0.000 0.276
Te4 0.948 0.500 0.724
# Symmetry = C2/m
# VASP energy = -9.892 eV/f.u.
# Formation energy from raw total energies = -0.13 eV per atom
# E above lowest polymorph = 0 meV per atom

# 4
# Tl4SnTe3 | Alexandria | GGA-PBE | relaxed
data_Tl4SnTe3
_space_group_name_H-M_alt 'P 1'
_space_group_IT_number 1
_cell_length_a 9.161
_cell_length_b 9.161
_cell_length_c 9.161
_cell_angle_alpha 121.77
_cell_angle_beta 121.77
_cell_angle_gamma 86.96
loop_
_space_group_symop_operation_xyz
'x,y,z'
loop_
_atom_site_label
_atom_site_fract_x
_atom_site_fract_y
_atom_site_fract_z
Tl1 0.013 0.513 0.209
Tl2 0.196 0.987 0.500
Tl3 0.304 0.804 0.791
Tl4 0.487 0.696 0.500
Tl5 0.513 0.304 0.500
Tl6 0.696 0.196 0.209
Tl7 0.804 0.013 0.500
Tl8 0.987 0.487 0.791
Sn1 0.000 0.000 0.000
Sn2 0.500 0.500 0.000
Te1 0.165 0.335 0.500
Te2 0.250 0.250 0.000
Te3 0.335 0.835 0.169
Te4 0.665 0.165 0.831
Te5 0.750 0.750 0.000
Te6 0.835 0.665 0.500
# Symmetry = I4/mcm
# VASP energy = -25.207 eV/f.u.
# Formation energy from raw total energies = -0.29 eV per atom
# E above lowest polymorph = 0 meV per atom

# 5
# TlSnTe3 | Alexandria | GGA-PBE | relaxed
data_TlSnTe3
_space_group_name_H-M_alt 'P 1'
_space_group_IT_number 1
_cell_length_a 6.929
_cell_length_b 7.270
_cell_length_c 8.778
_cell_angle_alpha 90.00
_cell_angle_beta 111.20
_cell_angle_gamma 90.00
loop_
_space_group_symop_operation_xyz
'x,y,z'
loop_
_atom_site_label
_atom_site_fract_x
_atom_site_fract_y
_atom_site_fract_z
Tl1 0.087 0.000 0.333
Tl2 0.913 0.500 0.667
Sn1 0.383 0.141 0.874
Sn2 0.617 0.641 0.126
Te1 0.014 0.489 0.312
Te2 0.456 0.516 0.795
Te3 0.458 0.419 0.317
Te4 0.542 0.919 0.683
Te5 0.544 0.016 0.205
Te6 0.986 0.989 0.688
# Symmetry = P2_1
# VASP energy = -16.333 eV/f.u.
# Formation energy from raw total energies = -0.11 eV per atom
# E above lowest polymorph = 19 meV per atom

# 6
# Tl5SnTe4 | Alexandria | GGA-PBE | relaxed
data_Tl5SnTe4
_space_group_name_H-M_alt 'P 1'
_space_group_IT_number 1
_cell_length_a 10.094
_cell_length_b 10.094
_cell_length_c 8.423
_cell_angle_alpha 112.04
_cell_angle_beta 112.04
_cell_angle_gamma 27.13
loop_
_space_group_symop_operation_xyz
'x,y,z'
loop_
_atom_site_label
_atom_site_fract_x
_atom_site_fract_y
_atom_site_fract_z
Tl1 0.000 0.000 0.000
Tl2 0.295 0.295 0.416
Tl3 0.344 0.344 0.957
Tl4 0.656 0.656 0.043
Tl5 0.705 0.705 0.584
Sn1 0.000 0.000 0.500
Te1 0.158 0.158 0.783
Te2 0.459 0.459 0.696
Te3 0.541 0.541 0.304
Te4 0.842 0.842 0.217
# Symmetry = C2/m
# VASP energy = -30.885 eV/f.u.
# Formation energy from raw total energies = -0.25 eV per atom
# E above lowest polymorph = 0 meV per atom